No. 1
Y7PdI12: relaxed, PBE-GGA.

Summary:
Symmetry: No. 148
Size of the total moment: 0.845 μB per formula unit
E_tot: -0.3436 Ry/atom

a b c (Å): 9.7714 9.7714 9.7714
angles (deg): 107.46 107.46 107.46
Closest atoms and distances in Å follow each position.
Sites, in units of the cell vectors:
Y  0.0000  0.0000  0.0000  6 I 3.08
Y  0.1940  0.3971  0.4683  1 Pd 2.74
Y  0.3971  0.4683  0.1940  1 Pd 2.74
Y  0.4683  0.1940  0.3971  1 Pd 2.74
Y  0.5317  0.8060  0.6029  1 Pd 2.74
Y  0.6029  0.5317  0.8060  1 Pd 2.74
Y  0.8060  0.6029  0.5317  1 Pd 2.74
Pd  0.5000  0.5000  0.5000  6 Y 2.74
I  0.0297  0.3421  0.1092  3 Y 3.08-3.19
I  0.1092  0.0297  0.3421  3 Y 3.08-3.19
I  0.1786  0.7244  0.5744  3 Y 3.12-3.32
I  0.2756  0.4256  0.8214  3 Y 3.12-3.32
I  0.3421  0.1092  0.0297  3 Y 3.08-3.19
I  0.4256  0.8214  0.2756  3 Y 3.12-3.32
I  0.5744  0.1786  0.7244  3 Y 3.12-3.32
I  0.6579  0.8908  0.9703  3 Y 3.08-3.19
I  0.7244  0.5744  0.1786  3 Y 3.12-3.32
I  0.8214  0.2756  0.4256  3 Y 3.12-3.32
I  0.8908  0.9703  0.6579  3 Y 3.08-3.19
I  0.9703  0.6579  0.8908  3 Y 3.08-3.19

No. 2
Y2PdI2: relaxed, PBE-GGA.

Summary:
Symmetry: No. 166
Size of the total moment: 0.000 μB per formula unit
E_tot: -0.3919 Ry/atom

a b c (Å): 11.9121 11.9121 11.9121
angles (deg): 19.95 19.95 19.95
Closest atoms and distances in Å follow each position.
Sites, in units of the cell vectors:
Y  0.1211  0.1211  0.1211  3 Pd 2.87, 3 I 3.19
Y  0.8789  0.8789  0.8789  3 Pd 2.87, 3 I 3.19
Pd  0.5000  0.5000  0.5000  6 Y 2.87
I  0.2730  0.2730  0.2730  3 Y 3.19
I  0.7270  0.7270  0.7270  3 Y 3.19

No. 3
YPdI3: relaxed, PBE-GGA.

Summary:
ΔE to the lowest computed polymorph: 179 meV per atom
Symmetry: No. 221
Size of the total moment: 0.795 μB per formula unit
E_tot: -0.2536 Ry/atom

a b c (Å): 5.4739 5.4739 5.4739
angles (deg): 90.00 90.00 90.00
Closest atoms and distances in Å follow each position.
Sites, in units of the cell vectors:
Y  0.0000  0.0000  0.0000  12 I 3.87
Pd  0.5000  0.5000  0.5000  6 I 2.74
I  0.0000  0.5000  0.5000  2 Pd 2.74
I  0.5000  0.0000  0.5000  2 Pd 2.74
I  0.5000  0.5000  0.0000  2 Pd 2.74

No. 4
Y3PdI: relaxed, PBE-GGA.

Summary:
ΔE to the lowest computed polymorph: 0 meV per atom
Symmetry: No. 221
Size of the total moment: 0.000 μB per formula unit
E_tot: -0.4078 Ry/atom

a b c (Å): 5.5010 5.5010 5.5010
angles (deg): 90.00 90.00 90.00
Closest atoms and distances in Å follow each position.
Sites, in units of the cell vectors:
Y  0.0000  0.0000  0.5000  2 Pd 2.75
Y  0.0000  0.5000  0.0000  2 Pd 2.75
Y  0.5000  0.0000  0.0000  2 Pd 2.75
Pd  0.0000  0.0000  0.0000  6 Y 2.75
I  0.5000  0.5000  0.5000  12 Y 3.89

No. 5
YPdI3: relaxed, PBE-GGA.

Summary:
ΔE to the lowest computed polymorph: 0 meV per atom
Symmetry: No. 221
Size of the total moment: 0.000 μB per formula unit
E_tot: -0.2668 Ry/atom

a b c (Å): 5.9750 5.9750 5.9750
angles (deg): 90.00 90.00 90.00
Closest atoms and distances in Å follow each position.
Sites, in units of the cell vectors:
Y  0.0000  0.0000  0.0000  6 I 2.99
Pd  0.5000  0.5000  0.5000  12 I 4.22
I  0.0000  0.0000  0.5000  2 Y 2.99
I  0.0000  0.5000  0.0000  2 Y 2.99
I  0.5000  0.0000  0.0000  2 Y 2.99

No. 6
YPd3I: relaxed, PBE-GGA.

Summary:
ΔE to the lowest computed polymorph: 0 meV per atom
Symmetry: No. 221
Size of the total moment: 0.000 μB per formula unit
E_tot: -0.3317 Ry/atom

a b c (Å): 4.9887 4.9887 4.9887
angles (deg): 90.00 90.00 90.00
Closest atoms and distances in Å follow each position.
Sites, in units of the cell vectors:
Y  0.0000  0.0000  0.0000  12 Pd 3.53
Pd  0.0000  0.5000  0.5000  2 I 2.49
Pd  0.5000  0.0000  0.5000  2 I 2.49
Pd  0.5000  0.5000  0.0000  2 I 2.49
I  0.5000  0.5000  0.5000  6 Pd 2.49

No. 7
Y2PdI: relaxed, PBE-GGA.

Summary:
ΔE to the lowest computed polymorph: 701 meV per atom
Symmetry: No. 166
Size of the total moment: 0.000 μB per formula unit
E_tot: -0.3713 Ry/atom

a b c (Å): 10.5624 10.5624 10.5624
angles (deg): 19.48 19.48 19.48
Closest atoms and distances in Å follow each position.
Sites, in units of the cell vectors:
Y  0.0848  0.0848  0.0848  1 Pd 2.63
Y  0.9152  0.9152  0.9152  1 Pd 2.63
Pd  0.0000  0.0000  0.0000  2 Y 2.63
I  0.5000  0.5000  0.5000  6 Y 3.28, 6 I 3.57

No. 8
YPd3I: relaxed, PBE-GGA.

Summary:
ΔE to the lowest computed polymorph: 264 meV per atom
Symmetry: No. 221
Size of the total moment: 0.000 μB per formula unit
E_tot: -0.3123 Ry/atom

a b c (Å): 5.1631 5.1631 5.1631
angles (deg): 90.00 90.00 90.00
Closest atoms and distances in Å follow each position.
Sites, in units of the cell vectors:
Y  0.0000  0.0000  0.0000  6 Pd 2.58
Pd  0.0000  0.0000  0.5000  2 Y 2.58
Pd  0.0000  0.5000  0.0000  2 Y 2.58
Pd  0.5000  0.0000  0.0000  2 Y 2.58
I  0.5000  0.5000  0.5000  12 Pd 3.65